1) ## Pm4Tm7Sc (PBE)

Data for Pm4Tm7Sc after structural relaxation.

It has space group C2/m (No. 12), with a = 11.3686 Å, b = 5.2831 Å, c = 12.9673 Å, α = 90.00°, β = 104.29° and γ = 90.00°. The inequivalent atoms are Pm at (0.0402, 0.0000, 0.2837), Pm at (0.1770, 0.5000, 0.7621), Tm at (0.0000, 0.5000, 0.5000), Tm at (0.0893, 0.5000, 0.1283), Tm at (0.1377, 0.0000, 0.9659), Tm at (0.2347, 0.5000, 0.4000) and Sc at (0.0000, 0.0000, 0.5000).

Its volume is 31.4 A^3/atom. The value obtained for the density of states at the Fermi level is 32.89 states/eV per cell.

2) ## Pm4Tm7Sc (PBE)

Data for Pm4Tm7Sc after structural relaxation.

It has space group P-1 (No. 2), with a = 5.9001 Å, b = 6.9062 Å, c = 9.9003 Å, α = 69.65°, β = 87.37° and γ = 89.97°. The inequivalent atoms are Pm at (0.2289, 0.3569, 0.2302), Pm at (0.2297, 0.9126, 0.2305), Tm at (0.2475, 0.3163, 0.8674), Tm at (0.2477, 0.9593, 0.5815), Tm at (0.2694, 0.7829, 0.9341), Tm at (0.5000, 0.5000, 0.5000) and Sc at (0.0000, 0.5000, 0.5000).

Its volume is 31.5 A^3/atom. The value obtained for the density of states at the Fermi level is 21.18 states/eV per cell.

Which of them is the least stable? Correct choice: 1).